CsCa3Mn | PBE | relaxed

extended XYZ file:
```
5
Lattice="5.695 0.000 0.000 0.000 5.695 0.000 0.000 0.000 5.695" Properties=species:S:1:pos:R:3 pbc="T T T"
Cs 0.000 0.000 0.000
Ca 0.000 0.000 2.848
Ca 0.000 2.848 0.000
Ca 2.848 0.000 0.000
Mn 2.848 2.848 2.848
```

Properties
* uncorrected energy: -0.06477 Ha/atom
* crystal system: cubic
* energy above the lowest structure with this stoichiometry: 982 meV per atom
* energy of formation: 1443 meV per atom